(1)
The following is a DFT calculation (PBE-GGA) of In4SiAs after structural relaxation.

Properties
M_tot   0.00 μB per atom
Formation energy from raw total energies   0.557 eV per atom

CIF file:
```
data_In4SiAs
_cell_length_a 6.031
_cell_length_b 6.031
_cell_length_c 6.031
_cell_angle_alpha 60.00
_cell_angle_beta 60.00
_cell_angle_gamma 60.00
_space_group_name_H-M_alt 'P 1'
_space_group_IT_number 1
loop_
_space_group_symop_operation_xyz
'x,y,z'
loop_
_atom_site_label
_atom_site_type_symbol
_atom_site_fract_x
_atom_site_fract_y
_atom_site_fract_z
In1 In 0.875 0.375 0.375
In2 In 0.375 0.375 0.875
In3 In 0.375 0.875 0.375
In4 In 0.375 0.375 0.375
Si1 Si 0.750 0.750 0.750
As1 As 0.000 0.000 0.000
```

=====

(2)
The following is a DFT calculation (PBE-GGA) of InSiAs2 after structural relaxation.

Properties
M_tot   0.00 μB per atom
Formation energy from raw total energies   0.197 eV per atom

CIF file:
```
data_InSiAs2
_cell_length_a 7.399
_cell_length_b 7.399
_cell_length_c 7.399
_cell_angle_alpha 29.17
_cell_angle_beta 29.17
_cell_angle_gamma 29.17
_space_group_name_H-M_alt 'P 1'
_space_group_IT_number 1
loop_
_space_group_symop_operation_xyz
'x,y,z'
loop_
_atom_site_label
_atom_site_type_symbol
_atom_site_fract_x
_atom_site_fract_y
_atom_site_fract_z
As1 As 0.010 0.010 0.010
As2 As 0.253 0.253 0.253
In1 In 0.499 0.499 0.499
Si1 Si 0.738 0.738 0.738
```

=====

(3)
The following is a DFT calculation (PBE-GGA) of InSi2As after structural relaxation.

Properties
M_tot   0.00 μB per atom
Formation energy from raw total energies   0.533 eV per atom

CIF file:
```
data_InSi2As
_cell_length_a 3.554
_cell_length_b 4.536
_cell_length_c 4.756
_cell_angle_alpha 90.00
_cell_angle_beta 90.00
_cell_angle_gamma 90.00
_space_group_name_H-M_alt 'P 1'
_space_group_IT_number 1
loop_
_space_group_symop_operation_xyz
'x,y,z'
loop_
_atom_site_label
_atom_site_type_symbol
_atom_site_fract_x
_atom_site_fract_y
_atom_site_fract_z
As1 As 0.500 0.000 0.500
In1 In 0.000 0.500 0.500
Si1 Si 0.000 0.000 0.000
Si2 Si 0.500 0.500 0.000
```